Entry from the Alexandria database: an optimized crystal structure of CrHg2Pb (PBE-GGA).

Properties
V, A^3/atom: 23.5
E_form, eV/f.u.: 1.18

Cell: 3.375 3.451 8.081 Å, 90.00 90.00 90.00°
Element x y z (fractional)
Cr 0.000 0.000 0.000
Hg 0.500 0.500 0.208
Hg 0.500 0.500 0.792
Pb 0.000 0.000 0.500